{
  "formula": "Rb2AgSn3S8",
  "functional": "PBE",
  "state": "optimized geometry",
  "e_form_raw_kcal_per_mol_atoms": -12.360,
  "e_tot_ev_per_cell": -57.3,
  "space_group": "No. 160",
  "rho_kg_m3": 3593,
  "lattice": [[3.775, 2.180, 8.345], [-3.775, 2.180, 8.345], [0.000, -4.359, 8.345]],
  "species": ["Rb", "Rb", "Ag", "Sn", "Sn", "Sn", "S", "S", "S", "S", "S", "S", "S", "S"],
  "fractional_positions": [[0.000, 0.000, 0.000], [0.351, 0.351, 0.351], [0.503, 0.503, 0.503], [0.504, 0.997, 0.997], [0.997, 0.504, 0.997], [0.997, 0.997, 0.504], [0.213, 0.730, 0.730], [0.224, 0.224, 0.224], [0.271, 0.271, 0.788], [0.271, 0.788, 0.271], [0.730, 0.213, 0.730], [0.730, 0.730, 0.213], [0.772, 0.772, 0.772], [0.788, 0.271, 0.271]]
}

=====

{
  "formula": "Pa2Be4IrRh3",
  "functional": "PBE",
  "state": "optimized geometry",
  "e_tot_ev_per_cell": -70.7,
  "delta_e_f_mev_per_atom": -586.4,
  "space_group": "No. 115",
  "rho_kg_m3": 11180,
  "lattice": [[3.993, 0.000, 0.000], [0.000, 3.993, 0.000], [0.000, 0.000, 9.308]],
  "species": ["Pa", "Pa", "Be", "Be", "Be", "Be", "Ir", "Rh", "Rh", "Rh"],
  "fractional_positions": [[0.000, 0.500, 0.240], [0.500, 0.000, 0.760], [0.000, 0.000, 0.500], [0.000, 0.500, 0.877], [0.500, 0.000, 0.123], [0.500, 0.500, 0.500], [0.500, 0.500, 0.000], [0.000, 0.000, 0.000], [0.000, 0.500, 0.626], [0.500, 0.000, 0.374]]
}

=====

{
  "formula": "BaZr2In",
  "functional": "PBE",
  "state": "optimized geometry",
  "e_tot_ev_per_cell": -20.9,
  "delta_e_f_mev_per_atom": 221.2,
  "space_group": "No. 123",
  "rho_kg_m3": 6539,
  "lattice": [[3.279, 0.000, 0.000], [0.000, 3.279, 0.000], [0.000, 0.000, 10.262]],
  "species": ["Ba", "Zr", "Zr", "In"],
  "fractional_positions": [[0.000, 0.000, 0.000], [0.500, 0.500, 0.298], [0.500, 0.500, 0.702], [0.000, 0.000, 0.500]]
}